ZnPtBr2: optimized geometry, GGA-PBE.

Cell: 6.8774 6.8774 6.8774 Å, 90.00 90.00 90.00°
Fractional positions:
Zn1 0.0000 0.0000 0.0000
Zn2 0.0000 0.5000 0.5000
Zn3 0.5000 0.0000 0.5000
Zn4 0.5000 0.5000 0.0000
Pt1 0.0000 0.0000 0.5000
Pt2 0.0000 0.5000 0.0000
Pt3 0.5000 0.0000 0.0000
Pt4 0.5000 0.5000 0.5000
Br1 0.2500 0.2500 0.2500
Br2 0.2500 0.2500 0.7500
Br3 0.2500 0.7500 0.2500
Br4 0.2500 0.7500 0.7500
Br5 0.7500 0.2500 0.2500
Br6 0.7500 0.2500 0.7500
Br7 0.7500 0.7500 0.2500
Br8 0.7500 0.7500 0.7500

Properties
Total magnetic moment ... 0.00 μB/f.u.
Symmetry ... Fm-3m
E above lowest polymorph ... 715.4 meV/atom


Zn2PtBr: optimized geometry, GGA-PBE.

Cell: 4.1418 4.1418 8.0837 Å, 90.00 90.00 90.00°
Fractional positions:
Zn1 0.0000 0.5000 0.2500
Zn2 0.0000 0.5000 0.7500
Zn3 0.5000 0.0000 0.2500
Zn4 0.5000 0.0000 0.7500
Pt1 0.0000 0.0000 0.0000
Pt2 0.5000 0.5000 0.5000
Br1 0.0000 0.0000 0.5000
Br2 0.5000 0.5000 0.0000

Properties
Total magnetic moment ... 0.00 μB/f.u.
Symmetry ... I4/mmm
E above lowest polymorph ... 559.2 meV/atom


ZnPt2Br: optimized geometry, GGA-PBE.

Cell: 2.8642 5.1103 9.4246 Å, 90.00 90.00 90.00°
Fractional positions:
Zn1 0.0000 0.0000 0.0000
Zn2 0.5000 0.5000 0.5000
Pt1 0.0000 0.5000 0.2649
Pt2 0.0000 0.5000 0.7351
Pt3 0.5000 0.0000 0.2351
Pt4 0.5000 0.0000 0.7649
Br1 0.0000 0.0000 0.5000
Br2 0.5000 0.5000 0.0000

Properties
Total magnetic moment ... 0.00 μB/f.u.
Symmetry ... Immm
E above lowest polymorph ... 230.0 meV/atom


ZnPtBr2: optimized geometry, GGA-PBE.

Cell: 6.8678 6.8678 6.8678 Å, 90.00 90.00 90.00°
Fractional positions:
Zn1 0.0000 0.0000 0.0000
Zn2 0.0000 0.5000 0.5000
Zn3 0.5000 0.0000 0.5000
Zn4 0.5000 0.5000 0.0000
Pt1 0.2500 0.2500 0.7500
Pt2 0.2500 0.7500 0.2500
Pt3 0.7500 0.2500 0.2500
Pt4 0.7500 0.7500 0.7500
Br1 0.0000 0.0000 0.5000
Br2 0.0000 0.5000 0.0000
Br3 0.2500 0.2500 0.2500
Br4 0.2500 0.7500 0.7500
Br5 0.5000 0.0000 0.0000
Br6 0.5000 0.5000 0.5000
Br7 0.7500 0.2500 0.7500
Br8 0.7500 0.7500 0.2500

Properties
Total magnetic moment ... 0.00 μB/f.u.
Symmetry ... F-43m
E above lowest polymorph ... 787.1 meV/atom


ZnPtBr2: optimized geometry, GGA-PBE.

Cell: 3.4485 4.0307 14.4469 Å, 90.00 90.00 90.00°
Fractional positions:
Zn1 0.0000 0.0000 0.0000
Zn2 0.5000 0.5000 0.5000
Pt1 0.0000 0.5000 0.6365
Pt2 0.5000 0.0000 0.1365
Br1 0.0000 0.0000 0.4188
Br2 0.0000 0.5000 0.1602
Br3 0.5000 0.0000 0.6602
Br4 0.5000 0.5000 0.9188

Properties
Total magnetic moment ... 0.00 μB/f.u.
Symmetry ... Imm2
E above lowest polymorph ... 247.3 meV/atom


Zn2PtBr: optimized geometry, GGA-PBE.

Cell: 3.5205 3.6047 7.0432 Å, 90.00 90.00 90.00°
Fractional positions:
Zn1 0.0000 0.0000 0.0000
Zn2 0.5000 0.5000 0.3341
Pt1 0.0000 0.0000 0.3440
Br1 0.5000 0.5000 0.8352

Properties
Total magnetic moment ... 0.00 μB/f.u.
Symmetry ... Pmm2
E above lowest polymorph ... 147.8 meV/atom


ZnPtBr2: optimized geometry, GGA-PBE.

Cell: 6.0465 6.0465 11.4525 Å, 90.00 90.00 90.00°
Fractional positions:
Zn1 0.0000 0.0000 0.0000
Zn2 0.0000 0.5000 0.2500
Zn3 0.5000 0.0000 0.7500
Zn4 0.5000 0.5000 0.5000
Pt1 0.0000 0.0000 0.5000
Pt2 0.0000 0.5000 0.7500
Pt3 0.5000 0.0000 0.2500
Pt4 0.5000 0.5000 0.0000
Br1 0.2427 0.2500 0.1250
Br2 0.2500 0.7427 0.3750
Br3 0.2500 0.7573 0.8750
Br4 0.2573 0.2500 0.6250
Br5 0.7427 0.7500 0.6250
Br6 0.7500 0.2427 0.8750
Br7 0.7500 0.2573 0.3750
Br8 0.7573 0.7500 0.1250

Properties
Total magnetic moment ... 0.00 μB/f.u.
Symmetry ... I-42d
E above lowest polymorph ... 431.7 meV/atom


Zn2PtBr: optimized geometry, GGA-PBE.

Cell: 3.7616 3.6816 5.5944 Å, 90.00 91.20 90.00°
Fractional positions:
Zn1 0.0000 0.0000 0.0000
Zn2 0.5000 0.5000 0.5000
Pt1 0.0000 0.0000 0.5000
Br1 0.5000 0.5000 0.0000

Properties
Total magnetic moment ... 0.00 μB/f.u.
Symmetry ... P2/m
E above lowest polymorph ... 278.7 meV/atom


ΔE_f (raw) across the listed records, respectively: 0.478 0.234 0.158 0.550 0.010 -0.177 0.194 -0.046 eV/atom.